(1)
Dy3MnAlS7 | the Alexandria database | meta-GGA SCAN | PBEsol geometry; V = 19.092 Å³/atom; total magnetization = 2.0 μB/cell; raw formation energy = -1.831 eV/atom; uncorrected energy = -258.77 eV per formula unit; space group = P6_3 (173)
1.0
-2.8698 5.2882 0.8325
-7.7554 -3.6232 -3.7194
1.5034 -0.6308 9.1897
Dy Mn Al S
6 2 2 14
direct
0.7743 0.8377 0.2127
0.7743 0.7873 0.6250
0.7743 0.3750 0.1623
0.2743 0.1623 0.7873
0.2743 0.2127 0.3750
0.2743 0.6250 0.8377
0.9313 0.0000 0.0000
0.4313 0.0000 0.0000
0.3478 0.6667 0.3333
0.8478 0.3333 0.6667
0.1782 0.9015 0.1235
0.1782 0.8765 0.7780
0.1782 0.2220 0.0985
0.6782 0.0985 0.8765
0.6782 0.1235 0.2220
0.6782 0.7780 0.9015
0.4981 0.5599 0.0824
0.4981 0.9176 0.4774
0.4981 0.5226 0.4401
0.9981 0.4401 0.9176
0.9981 0.0824 0.5226
0.9981 0.4774 0.5599
0.9832 0.6667 0.3333
0.4832 0.3333 0.6667

(2)
Dy3AlN | the Alexandria database | meta-GGA SCAN | PBEsol geometry; V = 20.954 Å³/atom; total magnetization = 0.0 μB/cell; raw formation energy = -1.058 eV/atom; uncorrected energy = -165.72 eV per formula unit; space group = Pm-3m (221)
1.0
-0.5124 -0.6921 4.6350
3.0514 -3.5881 -0.1985
3.5568 2.9785 0.8380
Dy Al N
3 1 1
direct
0.5000 0.5000 0.0000
0.5000 0.0000 0.5000
0.0000 0.5000 0.5000
0.0000 0.0000 0.0000
0.5000 0.5000 0.5000

(3)
DyAlNi4 | the Alexandria database | meta-GGA SCAN | PBEsol geometry; V = 13.616 Å³/atom; total magnetization = 0.0 μB/cell; uncorrected energy = -123.12 eV per formula unit; space group = P-6m2 (187)
1.0
-1.7194 3.0062 1.5976
-3.8405 -2.8834 1.2926
3.8486 0.5532 3.1011
Ni Al Dy
4 1 1
direct
0.0000 0.3333 0.6667
0.5000 0.0047 0.5023
0.5000 0.4977 0.9953
0.5000 0.4977 0.5023
0.0000 0.6667 0.3333
0.0000 0.0000 0.0000